1.
VASP calculation (GGA-PBEsol) on a relaxed SrMgPb crystal.

- V (A^3/atom) = 29.82
- D(E_F) (states/eV/atom) = 0.105
- mass density (Mg/m³) = 5.924
- energy relative to the elements (eV/atom) = -0.502
- DFT total energy (eV per atom) = -3.021

Lattice parameters (Å, degrees): 4.8983 8.1771 8.9334 90.00 90.00 90.00
Closest atoms and distances in Å follow each position.
Atoms (fractional coordinates):
Pb1 0.7500 0.2254 0.6096  4 Mg 2.98-3.08
Sr1 0.7500 0.4876 0.3108  5 Pb 3.42-3.50, 4 Mg 3.53-3.75
Pb2 0.2500 0.2746 0.1096  4 Mg 2.98-3.08
Pb3 0.2500 0.7746 0.3904  4 Mg 2.98-3.08
Mg1 0.2500 0.1476 0.4340  4 Pb 2.98-3.08
Mg2 0.7500 0.8524 0.5660  4 Pb 2.98-3.08
Sr2 0.2500 0.0124 0.8108  5 Pb 3.42-3.50, 4 Mg 3.53-3.75
Sr3 0.2500 0.5124 0.6892  5 Pb 3.42-3.50, 4 Mg 3.53-3.75
Mg3 0.7500 0.3524 0.9340  4 Pb 2.98-3.08
Mg4 0.2500 0.6476 0.0660  4 Pb 2.98-3.08
Sr4 0.7500 0.9876 0.1892  5 Pb 3.42-3.50, 4 Mg 3.53-3.75
Pb4 0.7500 0.7254 0.8904  4 Mg 2.98-3.08

2.
VASP calculation (GGA-PBEsol) on a relaxed SrMgPb2 crystal.

- V (A^3/atom) = 30.22
- D(E_F) (states/eV/atom) = 0.341
- mass density (Mg/m³) = 7.229
- energy relative to the elements (eV/atom) = -0.184
- DFT total energy (eV per atom) = -3.072

Lattice parameters (Å, degrees): 3.7538 3.7538 10.1412 79.33 79.33 60.00
Closest atoms and distances in Å follow each position.
Atoms (fractional coordinates):
Pb1 0.2578 0.2578 0.2267  3 Mg 3.12, 3 Sr 3.47
Mg1 0.0000 0.0000 0.0000  6 Pb 3.12
Sr1 0.5000 0.5000 0.5000  6 Pb 3.47, 6 Sr 3.75
Pb2 0.7422 0.7422 0.7733  3 Mg 3.12, 3 Sr 3.47

3.
VASP calculation (GGA-PBEsol) on a relaxed SrMgPb2 crystal.

- V (A^3/atom) = 28.67
- D(E_F) (states/eV/atom) = 0.435
- mass density (Mg/m³) = 7.620
- energy relative to the elements (eV/atom) = -0.347
- DFT total energy (eV per atom) = -3.235

Lattice parameters (Å, degrees): 4.6458 4.9687 4.9687 90.00 90.00 90.00
Closest atoms and distances in Å follow each position.
Atoms (fractional coordinates):
Pb1 0.0000 0.0000 0.5000  4 Sr 3.40, 4 Mg 3.40, 4 Pb 3.51
Mg1 0.5000 0.0000 0.0000  8 Pb 3.40, 4 Sr 3.51
Sr1 0.5000 0.5000 0.5000  8 Pb 3.40, 4 Mg 3.51
Pb2 0.0000 0.5000 0.0000  4 Sr 3.40, 4 Mg 3.40, 4 Pb 3.51

4.
VASP calculation (GGA-PBEsol) on a relaxed SrMgPb2 crystal.

- V (A^3/atom) = 30.50
- D(E_F) (states/eV/atom) = 0.524
- mass density (Mg/m³) = 7.163
- energy relative to the elements (eV/atom) = -0.197
- DFT total energy (eV per atom) = -3.085

Lattice parameters (Å, degrees): 3.8998 4.2461 7.3680 90.00 90.00 90.00
Closest atoms and distances in Å follow each position.
Atoms (fractional coordinates):
Sr1 0.0000 0.0000 0.4955  6 Pb 3.54-3.74, 4 Mg 3.65, 2 Sr 3.90
Mg1 0.5000 0.5000 0.7992  5 Pb 3.08-3.20
Pb1 0.0000 0.0000 0.9879  4 Mg 3.20, 4 Pb 3.34
Pb2 0.5000 0.5000 0.2174  1 Mg 3.08, 4 Pb 3.34

5.
VASP calculation (GGA-PBEsol) on a relaxed SrMg2Pb2 crystal.

- V (A^3/atom) = 29.16
- D(E_F) (states/eV/atom) = 0.463
- mass density (Mg/m³) = 6.272
- energy relative to the elements (eV/atom) = -0.328
- DFT total energy (eV per atom) = -2.983

Lattice parameters (Å, degrees): 4.7390 4.7390 7.3052 108.93 108.93 90.00
Closest atoms and distances in Å follow each position.
Atoms (fractional coordinates):
Pb1 0.6160 0.6160 0.2319  4 Mg 2.94, 1 Pb 3.01
Sr1 0.0000 0.0000 0.0000  8 Pb 3.67, 8 Mg 4.02
Mg1 0.7500 0.2500 0.5000  4 Pb 2.94
Mg2 0.2500 0.7500 0.5000  4 Pb 2.94
Pb2 0.3840 0.3840 0.7681  4 Mg 2.94, 1 Pb 3.01

6.
VASP calculation (GGA-PBEsol) on a relaxed Mg2TaPb crystal.

- V (A^3/atom) = 20.77
- D(E_F) (states/eV/atom) = 0.666
- mass density (Mg/m³) = 8.730
- energy relative to the elements (eV/atom) = 0.335
- DFT total energy (eV per atom) = -4.661

Lattice parameters (Å, degrees): 3.1431 4.3568 6.0668 90.00 90.00 90.00
Closest atoms and distances in Å follow each position.
Atoms (fractional coordinates):
Mg1 0.0000 0.0000 0.7276  1 Mg 2.76, 4 Ta 3.02
Mg2 0.0000 0.0000 0.2724  1 Mg 2.76, 4 Ta 3.02
Pb1 0.5000 0.5000 0.0000  2 Ta 3.03, 2 Pb 3.14, 8 Mg 3.15
Ta1 0.5000 0.5000 0.5000  8 Mg 3.02, 2 Pb 3.03, 2 Ta 3.14